Tb2CeDy3As6 (PBE, optimized geometry); formation enthalpy at 0 K = -35.13 kcal/mol of atoms; space group = No. 12; Fermi-level density of states = 0.4871 states/eV per atom; VASP energy = -6.265 eV/atom
1.0
4.144 0.000 0.000
0.000 8.277 0.298
-2.072 -2.382 8.693
Dy Tb As Ce
3 2 6 1
direct
0.500 0.500 0.000
0.833 0.168 0.665
0.167 0.832 0.335
0.832 0.664 0.664
0.168 0.336 0.336
0.333 0.918 0.666
0.667 0.082 0.334
0.334 0.416 0.668
0.000 0.252 0.000
0.000 0.748 0.000
0.666 0.584 0.332
0.500 0.000 0.000